No. 1
Computed, not measured: a relaxed structure of YBeTl at the PBE level of DFT.

```
data_YBeTl
_cell_length_a 4.293
_cell_length_b 4.293
_cell_length_c 7.257
_cell_angle_alpha 90.00
_cell_angle_beta 90.00
_cell_angle_gamma 90.00
_symmetry_space_group_name_H-M 'P 4/n m m'
_symmetry_Int_Tables_number 129
loop_
_symmetry_equiv_pos_as_xyz
'x,y,z'
'-x,-y,-z'
'-y+1/2,x,z'
'y+1/2,-x,-z'
'-x+1/2,-y+1/2,z'
'x+1/2,y+1/2,-z'
'y,-x+1/2,z'
'-y,x+1/2,-z'
'x+1/2,-y,-z'
'-x+1/2,y,z'
'-y,-x,-z'
'y,x,z'
'-x,y+1/2,-z'
'x,-y+1/2,z'
'y+1/2,x+1/2,-z'
'-y+1/2,-x+1/2,z'
loop_
_atom_site_label
_atom_site_fract_x
_atom_site_fract_y
_atom_site_fract_z
_atom_site_occupancy
Y1 0.250 0.250 0.154 1
Be1 0.250 0.250 0.745 1
Tl1 0.250 0.750 0.500 1
```

The calculated formation energy is 0.114 eV per atom. The volume comes out at 133.7 Å³ per cell. As for the density of states at the Fermi level: 1.825 states/eV/f.u. The calculation puts the total energy at -0.1496 hartree per atom. The energy above the lowest structure with this stoichiometry is 68 kJ/mol of formula units.

---

No. 2
Computed, not measured: a relaxed structure of PaCd2Ni9 at the PBE level of DFT.

```
data_PaCd2Ni9
_cell_length_a 4.8655
_cell_length_b 4.8655
_cell_length_c 23.8710
_cell_angle_alpha 90.00
_cell_angle_beta 90.00
_cell_angle_gamma 120.00
_symmetry_space_group_name_H-M 'R -3 m'
_symmetry_Int_Tables_number 166
_symmetry_space_group_name_Hall '-R 3 2"'
loop_
_atom_site_label
_atom_site_fract_x
_atom_site_fract_y
_atom_site_fract_z
_atom_site_occupancy
Pa1 0.0000 0.0000 0.0000 1
Cd1 0.0000 0.0000 0.1440 1
Ni1 0.0000 0.0000 0.3340 1
Ni2 0.0000 0.0000 0.5000 1
Ni3 0.0018 0.5009 0.9168 1
```

The calculated formation energy is -0.205 eV per atom. The volume comes out at 489.4 Å³ per cell. As for the density of states at the Fermi level: 15.156 states/eV/f.u. The calculation puts the total energy at -0.2016 hartree per atom.

---

> Which value of density of states at the Fermi level does entry 1 give?

1.825 states/eV/f.u.

---

> What is the volume in the first record?

133.7 Å³ per cell

---

> Among the records above, which one has the highest density of states at the Fermi level?

PaCd2Ni9